[1]
SrSnHg: relaxed, PBE.

The value obtained for the energy relative to the elements is -528 meV per atom.

CIF file:
```
data_SrSnHg
_chemical_formula_sum 'Sr2 Sn2 Hg2'
_cell_length_a 5.0842
_cell_length_b 6.4313
_cell_length_c 6.4914
_cell_angle_alpha 76.84
_cell_angle_beta 67.00
_cell_angle_gamma 66.82
_symmetry_space_group_name_H-M 'P -1'
_symmetry_Int_Tables_number 2
_symmetry_space_group_name_Hall '-P 1'
loop_
_atom_site_label
_atom_site_type_symbol
_atom_site_fract_x
_atom_site_fract_y
_atom_site_fract_z
Sr1 Sr 0.0410 0.2073 0.2091
Sn1 Sn 0.3378 0.6150 0.2099
Hg1 Hg 0.3399 0.2220 0.5964
```

[2]
SrSnHg: relaxed, PBE.

The value obtained for the energy relative to the elements is -526 meV per atom.

CIF file:
```
data_SrSnHg
_chemical_formula_sum 'Sr12 Sn12 Hg12'
_cell_length_a 5.0885
_cell_length_b 24.1891
_cell_length_c 8.6896
_cell_angle_alpha 90.00
_cell_angle_beta 90.00
_cell_angle_gamma 90.00
_symmetry_space_group_name_H-M 'I m m 2'
_symmetry_Int_Tables_number 44
_symmetry_space_group_name_Hall 'I 2 -2'
loop_
_atom_site_label
_atom_site_type_symbol
_atom_site_fract_x
_atom_site_fract_y
_atom_site_fract_z
Sr1 Sr 0.0000 0.0000 0.0000
Sr2 Sr 0.0000 0.1667 0.0815
Sr3 Sr 0.0000 0.3332 0.0054
Sr4 Sr 0.0000 0.5000 0.0870
Sn1 Sn 0.0000 0.0655 0.3862
Sn2 Sn 0.0000 0.2366 0.7013
Sn3 Sn 0.0000 0.4031 0.3849
Hg1 Hg 0.0000 0.1066 0.7094
Hg2 Hg 0.0000 0.2728 0.3758
Hg3 Hg 0.0000 0.4368 0.7104
```

[3]
SrSn3Hg: relaxed, PBE.

The value obtained for the energy relative to the elements is 109 meV per atom.

CIF file:
```
data_SrSn3Hg
_chemical_formula_sum 'Sr1 Sn3 Hg1'
_cell_length_a 5.6503
_cell_length_b 5.6503
_cell_length_c 5.6503
_cell_angle_alpha 90.00
_cell_angle_beta 90.00
_cell_angle_gamma 90.00
_symmetry_space_group_name_H-M 'P m -3 m'
_symmetry_Int_Tables_number 221
_symmetry_space_group_name_Hall '-P 4 2 3'
loop_
_atom_site_label
_atom_site_type_symbol
_atom_site_fract_x
_atom_site_fract_y
_atom_site_fract_z
Sr1 Sr 0.0000 0.0000 0.0000
Sn1 Sn 0.0000 0.5000 0.5000
Hg1 Hg 0.5000 0.5000 0.5000
```

[4]
Sr5Sn5Hg2: relaxed, PBE.

The value obtained for the energy relative to the elements is -562 meV per atom.

CIF file:
```
data_Sr5Sn5Hg2
_chemical_formula_sum 'Sr10 Sn10 Hg4'
_cell_length_a 17.4414
_cell_length_b 5.0585
_cell_length_c 10.6797
_cell_angle_alpha 90.00
_cell_angle_beta 125.61
_cell_angle_gamma 90.00
_symmetry_space_group_name_H-M 'C 1 2/m 1'
_symmetry_Int_Tables_number 12
_symmetry_space_group_name_Hall '-C 2y'
loop_
_atom_site_label
_atom_site_type_symbol
_atom_site_fract_x
_atom_site_fract_y
_atom_site_fract_z
Sr1 Sr 0.0000 0.0000 0.0000
Sr2 Sr 0.1314 0.0000 0.4393
Sr3 Sr 0.1579 0.0000 0.8413
Sn1 Sn 0.0000 0.5000 0.5000
Sn2 Sn 0.0220 0.5000 0.8145
Sn3 Sn 0.2356 0.5000 0.7306
Hg1 Hg 0.1546 0.5000 0.2027
```

[5]
Sr2Sn2Hg: relaxed, PBE.

The value obtained for the energy relative to the elements is -427 meV per atom.

CIF file:
```
data_Sr2Sn2Hg
_chemical_formula_sum 'Sr4 Sn4 Hg2'
_cell_length_a 9.1444
_cell_length_b 9.1444
_cell_length_c 4.2695
_cell_angle_alpha 90.00
_cell_angle_beta 90.00
_cell_angle_gamma 90.00
_symmetry_space_group_name_H-M 'P 4/m b m'
_symmetry_Int_Tables_number 127
_symmetry_space_group_name_Hall '-P 4 2ab'
loop_
_atom_site_label
_atom_site_type_symbol
_atom_site_fract_x
_atom_site_fract_y
_atom_site_fract_z
Sr1 Sr 0.1839 0.3161 0.0000
Sn1 Sn 0.1108 0.6108 0.5000
Hg1 Hg 0.0000 0.0000 0.0000
```

[6]
SrSnHg: relaxed, PBE.

The value obtained for the energy relative to the elements is -506 meV per atom.

CIF file:
```
data_SrSnHg
_chemical_formula_sum 'Sr4 Sn4 Hg4'
_cell_length_a 5.3131
_cell_length_b 8.4217
_cell_length_c 8.0719
_cell_angle_alpha 90.00
_cell_angle_beta 90.00
_cell_angle_gamma 90.00
_symmetry_space_group_name_H-M 'I m a 2'
_symmetry_Int_Tables_number 46
_symmetry_space_group_name_Hall 'I 2 -2a'
loop_
_atom_site_label
_atom_site_type_symbol
_atom_site_fract_x
_atom_site_fract_y
_atom_site_fract_z
Sr1 Sr 0.2500 0.2129 0.0000
Sn1 Sn 0.2500 0.5839 0.2020
Hg1 Hg 0.2500 0.5776 0.8042
```

[7]
Sr2TaSnHg: relaxed, PBE.

The value obtained for the energy relative to the elements is 657 meV per atom.

CIF file:
```
data_Sr2TaSnHg
_chemical_formula_sum 'Sr2 Ta1 Sn1 Hg1'
_cell_length_a 6.0209
_cell_length_b 6.0209
_cell_length_c 5.1804
_cell_angle_alpha 90.00
_cell_angle_beta 90.00
_cell_angle_gamma 90.00
_symmetry_space_group_name_H-M 'P 4/m m m'
_symmetry_Int_Tables_number 123
_symmetry_space_group_name_Hall '-P 4 2'
loop_
_atom_site_label
_atom_site_type_symbol
_atom_site_fract_x
_atom_site_fract_y
_atom_site_fract_z
Sr1 Sr 0.0000 0.5000 0.0000
Ta1 Ta 0.0000 0.0000 0.5000
Sn1 Sn 0.5000 0.5000 0.5000
Hg1 Hg 0.0000 0.0000 0.0000
```

[8]
SrTbSnHg: relaxed, PBE.

The value obtained for the energy relative to the elements is -530 meV per atom.

CIF file:
```
data_SrTbSnHg
_chemical_formula_sum 'Sr4 Tb4 Sn4 Hg4'
_cell_length_a 7.7671
_cell_length_b 7.7671
_cell_length_c 7.7671
_cell_angle_alpha 90.00
_cell_angle_beta 90.00
_cell_angle_gamma 90.00
_symmetry_space_group_name_H-M 'F -4 3 m'
_symmetry_Int_Tables_number 216
_symmetry_space_group_name_Hall 'F -4 2 3'
loop_
_atom_site_label
_atom_site_type_symbol
_atom_site_fract_x
_atom_site_fract_y
_atom_site_fract_z
Sr1 Sr 0.0000 0.0000 0.0000
Tb1 Tb 0.0000 0.0000 0.5000
Sn1 Sn 0.2500 0.2500 0.7500
Hg1 Hg 0.2500 0.2500 0.2500
```

[9]
Sr2SnHgTe5: relaxed, PBE.

Its uncorrected formation energy is -797 meV per atom.

CIF file:
```
data_Sr2SnHgTe5
_chemical_formula_sum 'Sr8 Sn4 Hg4 Te20'
_cell_length_a 4.4905
_cell_length_b 20.6376
_cell_length_c 13.3588
_cell_angle_alpha 90.00
_cell_angle_beta 90.00
_cell_angle_gamma 90.00
_symmetry_space_group_name_H-M 'C m c 21'
_symmetry_Int_Tables_number 36
_symmetry_space_group_name_Hall 'C 2c -2'
loop_
_atom_site_label
_atom_site_type_symbol
_atom_site_fract_x
_atom_site_fract_y
_atom_site_fract_z
Sr1 Sr 0.0000 0.1098 0.0000
Sr2 Sr 0.0000 0.1185 0.6261
Sn1 Sn 0.0000 0.2242 0.3243
Hg1 Hg 0.0000 0.4610 0.7663
Te1 Te 0.0000 0.0782 0.3754
Te2 Te 0.0000 0.2730 0.9856
Te3 Te 0.0000 0.2823 0.6643
Te4 Te 0.0000 0.3698 0.3155
Te5 Te 0.0000 0.4990 0.0712
```

[10]
SrThSnHg: relaxed, PBE.

The value obtained for the energy relative to the elements is -356 meV per atom.

CIF file:
```
data_SrThSnHg
_chemical_formula_sum 'Sr4 Th4 Sn4 Hg4'
_cell_length_a 7.8379
_cell_length_b 7.8379
_cell_length_c 7.8379
_cell_angle_alpha 90.00
_cell_angle_beta 90.00
_cell_angle_gamma 90.00
_symmetry_space_group_name_H-M 'F -4 3 m'
_symmetry_Int_Tables_number 216
_symmetry_space_group_name_Hall 'F -4 2 3'
loop_
_atom_site_label
_atom_site_type_symbol
_atom_site_fract_x
_atom_site_fract_y
_atom_site_fract_z
Sr1 Sr 0.0000 0.0000 0.0000
Th1 Th 0.0000 0.0000 0.5000
Sn1 Sn 0.2500 0.2500 0.2500
Hg1 Hg 0.2500 0.2500 0.7500
```

[11]
Sr3TlSn2Hg6: relaxed, PBE.

The value obtained for the energy relative to the elements is -250 meV per atom.

CIF file:
```
data_Sr3TlSn2Hg6
_chemical_formula_sum 'Sr3 Tl1 Sn2 Hg6'
_cell_length_a 6.4596
_cell_length_b 6.4596
_cell_length_c 9.9951
_cell_angle_alpha 90.00
_cell_angle_beta 90.00
_cell_angle_gamma 120.00
_symmetry_space_group_name_H-M 'P -3 m 1'
_symmetry_Int_Tables_number 164
_symmetry_space_group_name_Hall '-P 3 2"'
loop_
_atom_site_label
_atom_site_type_symbol
_atom_site_fract_x
_atom_site_fract_y
_atom_site_fract_z
Sr1 Sr 0.0000 0.0000 0.0000
Sr2 Sr 0.3333 0.6667 0.6104
Tl1 Tl 0.0000 0.0000 0.5000
Sn1 Sn 0.3333 0.6667 0.9766
Hg1 Hg 0.1774 0.3548 0.2591
```